Er2Ga5Cu3 (GGA-PBE, optimized geometry); symmetry = No. 72; E = -0.2935 Ry/atom
1.0
-5.216 5.737 2.881
5.216 -5.737 2.881
5.216 5.737 -2.881
Er Ga Cu
4 10 6
Direct
0.129 0.244 0.373
0.371 0.744 0.115
0.629 0.256 0.885
0.871 0.756 0.627
0.007 0.750 0.257
0.111 0.647 0.759
0.250 0.250 0.000
0.389 0.147 0.536
0.493 0.750 0.743
0.507 0.250 0.257
0.611 0.853 0.464
0.750 0.750 0.000
0.889 0.353 0.241
0.993 0.250 0.743
0.129 0.871 0.000
0.250 0.750 0.500
0.371 0.371 0.742
0.629 0.629 0.258
0.750 0.250 0.500
0.871 0.129 0.000